! Zr2Be15Cu2 PBE relaxed; values from VASP
&SYSTEM
  ibrav = 0, nat = 19, ntyp = 3
/
ATOMIC_SPECIES
Zr 91.22 Zr.upf
Be 9.01 Be.upf
Cu 63.55 Cu.upf
ATOMIC_POSITIONS angstrom
Zr 0.000 0.000 1.743
Zr 0.000 0.000 9.410
Be -1.903 -1.099 3.718
Be 0.000 -2.213 3.620
Be -1.917 1.107 3.620
Be -1.096 -1.898 5.577
Be -2.191 0.000 5.577
Be -1.917 -1.107 7.534
Be -1.903 1.099 7.436
Be 1.096 -1.898 5.577
Be 0.000 2.197 3.718
Be -1.096 1.898 5.577
Be 1.917 1.107 3.620
Be 2.191 0.000 5.577
Be 1.096 1.898 5.577
Be 1.917 -1.107 7.534
Be 0.000 2.213 7.534
Cu 0.000 0.000 4.410
Cu 0.000 0.000 6.744
CELL_PARAMETERS angstrom
3.806 2.197 3.718
-3.806 2.197 3.718
0.000 -4.395 3.718
! calculated total energy = -85.10 eV per cell
! total magnetization = 0.0 μB per formula unit